This record from Alexandria describes a relaxed structure of MgOs2Br. The functional is PBE.

Unit cell a=7.829 b=7.829 c=6.050 alpha=49.68 beta=49.68 gamma=90.00
Atoms (fractional coordinates):
Mg  0.500  0.500  0.000
Mg  0.250  0.750  0.500
Os  0.677  0.125  0.250
Os  0.073  0.625  0.250
Os  0.375  0.323  0.750
Os  0.875  0.927  0.750
Br  0.000  0.000  0.000
Br  0.750  0.250  0.500

Properties
* polymorph energy (0 for the lowest one): 1072 meV/atom
* DOS(E_F): 8.1 states/eV per cell
* E_form (uncorrected): 1327 meV/atom
* space-group type: I-42d